# 1
First-principles (PBE) data for an optimized crystal structure of Sc3TcO, as listed in Alexandria via LeMat-Bulk.

- formation energy from raw total energies (eV/atom) = -1.1861
- total magnetic moment (Bohr magnetons per cell) = 0.00
- relative energy among the computed polymorphs (eV per atom) = 0.136
- density of states at the Fermi level (states/eV per cell) = 9.0

Lattice parameters (Å, degrees): 11.251 7.726 7.726 82.21 124.77 55.23
Fractional positions:
Sc1 0.386 0.415 0.461
Sc2 0.114 0.961 0.915
Sc3 0.614 0.585 0.539
Sc4 0.886 0.039 0.085
Sc5 0.088 0.241 0.172
Sc6 0.412 0.672 0.741
Sc7 0.912 0.759 0.828
Sc8 0.588 0.328 0.259
Sc9 0.604 0.859 0.838
Sc10 0.896 0.338 0.359
Sc11 0.396 0.141 0.162
Sc12 0.104 0.662 0.641
Tc1 0.102 0.460 0.402
Tc2 0.398 0.902 0.960
Tc3 0.898 0.540 0.598
Tc4 0.602 0.098 0.040
O1 0.750 0.185 0.685
O2 0.250 0.815 0.315
O3 0.750 0.438 0.938
O4 0.250 0.562 0.062

---

# 2
First-principles (PBE) data for an optimized crystal structure of Ba2TaRu, as listed in Alexandria via LeMat-Bulk.

- total magnetic moment (Bohr magnetons per cell) = 0.00
- relative energy among the computed polymorphs (eV per atom) = 0.221
- density of states at the Fermi level (states/eV per cell) = 3.9

Lattice parameters (Å, degrees): 6.820 6.820 6.820 148.25 129.54 60.86
Fractional positions:
Ba1 0.009 0.009 0.000
Ba2 0.717 0.217 0.500
Ru1 0.452 0.452 0.000
Ta1 0.322 0.822 0.500

---

# 3
First-principles (PBE) data for an optimized crystal structure of Si2HgO, as listed in Alexandria via LeMat-Bulk.

- formation energy from raw total energies (eV/atom) = -0.1376
- total magnetic moment (Bohr magnetons per cell) = 0.00
- relative energy among the computed polymorphs (eV per atom) = 0.000
- density of states at the Fermi level (states/eV per cell) = 1.6

Lattice parameters (Å, degrees): 4.681 4.681 7.034 70.57 70.57 90.00
Fractional positions:
Si1 0.478 0.125 0.250
Si2 0.272 0.625 0.250
Si3 0.375 0.522 0.750
Si4 0.875 0.728 0.750
Hg1 0.000 0.000 0.000
Hg2 0.750 0.250 0.500
O1 0.500 0.500 0.000
O2 0.250 0.750 0.500

---

# 4
First-principles (PBE) data for an optimized crystal structure of ThGaNi5, as listed in Alexandria via LeMat-Bulk.

- total magnetic moment (Bohr magnetons per cell) = 0.00
- density of states at the Fermi level (states/eV per cell) = 22.4
- E_tot (eV/atom) = -6.05

Lattice parameters (Å, degrees): 4.924 7.973 10.055 90.00 90.00 90.00
Fractional positions:
Th1 0.250 0.247 0.944
Th2 0.750 0.253 0.444
Th3 0.250 0.747 0.556
Th4 0.750 0.753 0.056
Ga1 0.250 0.853 0.856
Ga2 0.750 0.647 0.356
Ga3 0.250 0.353 0.644
Ga4 0.750 0.147 0.144
Ni1 0.250 0.595 0.017
Ni2 0.750 0.905 0.517
Ni3 0.250 0.095 0.483
Ni4 0.750 0.405 0.983
Ni5 0.750 0.315 0.747
Ni6 0.250 0.185 0.247
Ni7 0.750 0.815 0.753
Ni8 0.250 0.685 0.253
Ni9 0.250 0.940 0.093
Ni10 0.750 0.560 0.593
Ni11 0.250 0.440 0.407
Ni12 0.750 0.060 0.907
Ni13 0.995 0.435 0.196
Ni14 0.005 0.065 0.696
Ni15 0.505 0.935 0.304
Ni16 0.495 0.565 0.804
Ni17 0.005 0.565 0.804
Ni18 0.995 0.935 0.304
Ni19 0.495 0.065 0.696
Ni20 0.505 0.435 0.196

---

# 5
First-principles (PBE) data for an optimized crystal structure of Li2AlTl, as listed in Alexandria via LeMat-Bulk.

- total magnetic moment (Bohr magnetons per cell) = 0.00
- density of states at the Fermi level (states/eV per cell) = 2.2
- E_tot (eV/atom) = -2.52

Lattice parameters (Å, degrees): 3.170 3.170 9.457 80.35 80.35 60.00
Fractional positions:
Li1 0.088 0.088 0.737
Li2 0.246 0.246 0.263
Al1 0.500 0.500 0.499
Tl1 0.666 0.666 0.001

---

# 6
First-principles (PBE) data for an optimized crystal structure of LuPaGaNi, as listed in Alexandria via LeMat-Bulk.

- total magnetic moment (Bohr magnetons per cell) = 0.00
- density of states at the Fermi level (states/eV per cell) = 6.0
- E_tot (eV/atom) = -5.93

Lattice parameters (Å, degrees): 4.877 4.877 4.877 60.00 60.00 60.00
Fractional positions:
Ni1 0.750 0.750 0.750
Pa1 0.000 0.000 0.000
Lu1 0.500 0.500 0.500
Ga1 0.250 0.250 0.250

---

# 7
First-principles (PBE) data for an optimized crystal structure of SrIn2Os, as listed in Alexandria via LeMat-Bulk.

- total magnetic moment (Bohr magnetons per cell) = 0.00
- density of states at the Fermi level (states/eV per cell) = 2.8
- E_tot (eV/atom) = -4.16

Lattice parameters (Å, degrees): 9.342 9.342 9.342 22.18 22.18 22.18
Fractional positions:
In1 0.984 0.984 0.984
In2 0.516 0.516 0.516
Os1 0.250 0.250 0.250
Sr1 0.750 0.750 0.750

---

# 8
First-principles (PBE) data for an optimized crystal structure of Nb2Ge2Rh, as listed in Alexandria via LeMat-Bulk.

- total magnetic moment (Bohr magnetons per cell) = 0.00
- density of states at the Fermi level (states/eV per cell) = 6.3
- E_tot (eV/atom) = -7.75

Lattice parameters (Å, degrees): 6.481 6.481 3.872 90.00 90.00 90.00
Fractional positions:
Nb1 0.169 0.669 0.500
Nb2 0.669 0.831 0.500
Nb3 0.831 0.331 0.500
Nb4 0.331 0.169 0.500
Rh1 0.000 0.000 0.000
Rh2 0.500 0.500 0.000
Ge1 0.363 0.863 0.000
Ge2 0.863 0.637 0.000
Ge3 0.637 0.137 0.000
Ge4 0.137 0.363 0.000

---

# 9
First-principles (PBE) data for an optimized crystal structure of RbSn3Cl12, as listed in Alexandria via LeMat-Bulk.

- formation energy from raw total energies (eV/atom) = -1.0073
- total magnetic moment (Bohr magnetons per cell) = 0.00
- density of states at the Fermi level (states/eV per cell) = 17.0

Lattice parameters (Å, degrees): 8.848 13.037 13.037 120.00 90.00 90.00
Fractional positions:
Rb1 0.750 0.667 0.333
Rb2 0.250 0.333 0.667
Sn1 0.250 0.903 0.625
Sn2 0.250 0.723 0.097
Sn3 0.250 0.375 0.277
Sn4 0.750 0.625 0.723
Sn5 0.750 0.277 0.903
Sn6 0.750 0.097 0.375
Cl1 0.250 0.006 0.833
Cl2 0.750 0.975 0.463
Cl3 0.467 0.777 0.556
Cl4 0.033 0.777 0.556
Cl5 0.750 0.537 0.512
Cl6 0.033 0.779 0.223
Cl7 0.467 0.779 0.223
Cl8 0.250 0.827 0.994
Cl9 0.467 0.444 0.221
Cl10 0.033 0.444 0.221
Cl11 0.750 0.833 0.827
Cl12 0.250 0.512 0.975
Cl13 0.750 0.488 0.025
Cl14 0.250 0.167 0.173
Cl15 0.967 0.556 0.779
Cl16 0.533 0.556 0.779
Cl17 0.750 0.173 0.006
Cl18 0.533 0.221 0.777
Cl19 0.967 0.221 0.777
Cl20 0.250 0.463 0.488
Cl21 0.533 0.223 0.444
Cl22 0.967 0.223 0.444
Cl23 0.250 0.025 0.537
Cl24 0.750 0.994 0.167

---

# 10
First-principles (PBE) data for an optimized crystal structure of KBaUS4, as listed in Alexandria via LeMat-Bulk.

- formation energy from raw total energies (eV/atom) = -1.5720
- total magnetic moment (Bohr magnetons per cell) = 1.00
- density of states at the Fermi level (states/eV per cell) = 4.0

Lattice parameters (Å, degrees): 5.218 5.218 8.732 107.39 107.39 90.00
Fractional positions:
K1 0.643 0.643 0.286
Ba1 0.360 0.360 0.721
U1 0.003 0.003 0.006
S1 0.995 0.495 0.991
S2 0.495 0.995 0.991
S3 0.841 0.841 0.681
S4 0.162 0.162 0.325

---

# 11
First-principles (PBE) data for an optimized crystal structure of GaP2SN, as listed in Alexandria via LeMat-Bulk.

- formation energy from raw total energies (eV/atom) = 1.0433
- total magnetic moment (Bohr magnetons per cell) = 0.00
- relative energy among the computed polymorphs (eV per atom) = 0.112
- density of states at the Fermi level (states/eV per cell) = 2.5

Lattice parameters (Å, degrees): 4.770 3.308 4.770 90.00 90.00 90.00
Fractional positions:
P1 0.000 0.000 0.500
P2 0.500 0.000 0.000
S1 0.000 0.000 0.000
Ga1 0.500 0.500 0.500
N1 0.000 0.500 0.000

---

# 12
First-principles (PBE) data for an optimized crystal structure of Tb2Sm4Sc5, as listed in Alexandria via LeMat-Bulk.

- total magnetic moment (Bohr magnetons per cell) = 0.00
- density of states at the Fermi level (states/eV per cell) = 17.8
- E_tot (eV/atom) = -5.28

Lattice parameters (Å, degrees): 3.381 8.572 14.020 125.23 96.93 90.00
Fractional positions:
Tb1 0.732 0.642 0.463
Tb2 0.268 0.358 0.537
Sm1 0.587 0.479 0.175
Sm2 0.050 0.768 0.100
Sm3 0.413 0.521 0.825
Sm4 0.950 0.232 0.900
Sc1 0.190 0.895 0.379
Sc2 0.810 0.105 0.621
Sc3 0.129 0.233 0.258
Sc4 0.500 0.000 0.000
Sc5 0.871 0.767 0.742